1.
A relaxed structure of CsBiTe3Pd, computed with PBE-GGA.

Geometry as extended XYZ:
```
12
Lattice="-7.6638 5.9279 0.0327 -2.8189 -3.6473 0.5303 4.5152 -2.0976 9.5756" Properties=species:S:1:pos:R:3 pbc="T T T"
Bi -3.1694 -1.7559 1.5258
Cs 0.6226 -0.9589 6.8649
Te -6.0007 1.3753 8.0116
Te -3.2525 1.7954 5.2092
Bi -2.7980 1.9389 8.6127
Te -2.5722 -1.1221 9.0598
Cs -6.5901 1.1420 3.2736
Te 0.0333 -1.1923 2.1269
Te -2.7149 -1.6123 4.9292
Te -3.3952 1.3051 1.0786
Pd -1.8391 0.4377 3.3839
Pd -4.1283 -0.2546 6.7545
```

## Properties
**Crystal system**: monoclinic

---

2.
A relaxed structure of CsPrBi, computed with PBE-GGA.

Geometry as extended XYZ:
```
3
Lattice="0.0000 3.9866 3.9866 3.9866 0.0000 3.9866 3.9866 3.9866 0.0000" Properties=species:S:1:pos:R:3 pbc="T T T"
Cs 5.9798 5.9798 5.9798
Pr 0.0000 0.0000 0.0000
Bi 1.9933 1.9933 1.9933
```

## Properties
**Crystal system**: cubic

---

3.
A relaxed structure of CsPrBi, computed with PBE-GGA.

Geometry as extended XYZ:
```
3
Lattice="0.0000 3.9807 3.9807 3.9807 0.0000 3.9807 3.9807 3.9807 0.0000" Properties=species:S:1:pos:R:3 pbc="T T T"
Cs 0.0000 0.0000 0.0000
Pr 1.9903 1.9903 1.9903
Bi 5.9710 5.9710 5.9710
```

## Properties
**Crystal system**: cubic

---

no.,total DFT energy (no corrections) (eV per atom)
1,-3.73
2,-3.20
3,-2.72